[1]
Material: HfFeCoAs
Method: DFT, PBE
State: relaxed

Computed properties:
For the energy above the most stable polymorph in this dataset, the calculation gives 0.0 kJ/mol of formula units. The value obtained for the density is 11.1 g cm⁻³.

The structure in CIF format:
```
data_HfFeCoAs
_chemical_formula_sum 'Hf4 Fe4 Co4 As4'
_cell_length_a 6.031
_cell_length_b 6.031
_cell_length_c 6.031
_cell_angle_alpha 90.00
_cell_angle_beta 90.00
_cell_angle_gamma 90.00
_symmetry_space_group_name_H-M 'F -4 3 m'
_symmetry_Int_Tables_number 216
_symmetry_space_group_name_Hall 'F -4 2 3'
loop_
_atom_site_label
_atom_site_fract_x
_atom_site_fract_y
_atom_site_fract_z
Hf1 0.000 0.000 0.000
Fe1 0.250 0.250 0.250
Co1 0.250 0.250 0.750
As1 0.000 0.000 0.500
```

=====

[2]
Material: HfFeCoAs
Method: DFT, PBE
State: relaxed

Computed properties:
For the energy above the most stable polymorph in this dataset, the calculation gives 82.4 kJ/mol of formula units. The value obtained for the density is 10.4 g cm⁻³.

The structure in CIF format:
```
data_HfFeCoAs
_chemical_formula_sum 'Hf4 Fe4 Co4 As4'
_cell_length_a 6.165
_cell_length_b 6.165
_cell_length_c 6.165
_cell_angle_alpha 90.00
_cell_angle_beta 90.00
_cell_angle_gamma 90.00
_symmetry_space_group_name_H-M 'F -4 3 m'
_symmetry_Int_Tables_number 216
_symmetry_space_group_name_Hall 'F -4 2 3'
loop_
_atom_site_label
_atom_site_fract_x
_atom_site_fract_y
_atom_site_fract_z
Hf1 0.000 0.000 0.000
Fe1 0.000 0.000 0.500
Co1 0.250 0.250 0.750
As1 0.250 0.250 0.250
```